1.
Computed, not measured: a geometry-optimized Er2Th6Sc structure at the GGA-PBE level of DFT.

Total energy: -0.2403 Ha/atom

a = 8.7090 Å, b = 8.7090 Å, c = 9.1221 Å
α = 115.55°, β = 115.55°, γ = 83.66°
Sites, in units of the cell vectors:
Er1 0.0336 0.2959 0.4146
Er2 0.2959 0.0336 0.9146
Er3 0.7041 0.9664 0.0854
Er4 0.9664 0.7041 0.5854
Th1 0.0591 0.8161 0.0234
Th2 0.1484 0.3971 0.8578
Th3 0.1839 0.9409 0.4766
Th4 0.2747 0.5190 0.3186
Th5 0.3971 0.1484 0.3578
Th6 0.4810 0.7253 0.1814
Th7 0.5190 0.2747 0.8186
Th8 0.6029 0.8516 0.6422
Th9 0.7253 0.4810 0.6814
Th10 0.8161 0.0591 0.5234
Th11 0.8516 0.6029 0.1422
Th12 0.9409 0.1839 0.9766
Sc1 0.3788 0.6212 0.7500
Sc2 0.6212 0.3788 0.2500

---

2.
Computed, not measured: a geometry-optimized Er6Th7Sc16 structure at the GGA-PBE level of DFT.

Total energy: -0.2206 Ha/atom

a = 10.7299 Å, b = 10.7299 Å, c = 10.7299 Å
α = 60.00°, β = 60.00°, γ = 60.00°
Sites, in units of the cell vectors:
Er1 0.2388 0.2388 0.7612
Er2 0.2388 0.7612 0.2388
Er3 0.2388 0.7612 0.7612
Er4 0.7612 0.2388 0.2388
Er5 0.7612 0.2388 0.7612
Er6 0.7612 0.7612 0.2388
Th1 0.0000 0.0000 0.5000
Th2 0.0000 0.5000 0.0000
Th3 0.0000 0.5000 0.5000
Th4 0.5000 0.0000 0.0000
Th5 0.5000 0.0000 0.5000
Th6 0.5000 0.5000 0.0000
Th7 0.5000 0.5000 0.5000
Sc1 0.1201 0.6266 0.6266
Sc2 0.1665 0.1665 0.1665
Sc3 0.1665 0.1665 0.5005
Sc4 0.1665 0.5005 0.1665
Sc5 0.3734 0.3734 0.3734
Sc6 0.3734 0.3734 0.8799
Sc7 0.3734 0.8799 0.3734
Sc8 0.5005 0.1665 0.1665
Sc9 0.4995 0.8335 0.8335
Sc10 0.6266 0.1201 0.6266
Sc11 0.6266 0.6266 0.1201
Sc12 0.6266 0.6266 0.6266
Sc13 0.8335 0.4995 0.8335
Sc14 0.8335 0.8335 0.4995
Sc15 0.8335 0.8335 0.8335
Sc16 0.8799 0.3734 0.3734

---

3.
Computed, not measured: a geometry-optimized Er5ThSc2 structure at the GGA-PBE level of DFT.

Total energy: -0.1956 Ha/atom

a = 6.9335 Å, b = 13.8894 Å, c = 4.8543 Å
α = 90.00°, β = 90.00°, γ = 90.00°
Sites, in units of the cell vectors:
Er1 0.0000 0.0000 0.0000
Er2 0.0089 0.2502 0.0000
Er3 0.2479 0.8750 0.5000
Er4 0.2521 0.3750 0.5000
Er5 0.4911 0.7502 0.0000
Er6 0.5000 0.5000 0.0000
Er7 0.5089 0.2498 0.0000
Er8 0.7479 0.6250 0.5000
Er9 0.7521 0.1250 0.5000
Er10 0.9911 0.7498 0.0000
Th1 0.0000 0.5000 0.0000
Th2 0.5000 0.0000 0.0000
Sc1 0.2387 0.6227 0.5000
Sc2 0.2613 0.1227 0.5000
Sc3 0.7387 0.8773 0.5000
Sc4 0.7613 0.3773 0.5000

---

4.
Computed, not measured: a geometry-optimized ErTh4Sc4 structure at the GGA-PBE level of DFT.

Total energy: -0.2415 Ha/atom

a = 7.7064 Å, b = 7.7064 Å, c = 7.7064 Å
α = 95.61°, β = 95.61°, γ = 143.57°
Sites, in units of the cell vectors:
Er1 0.0000 0.0000 0.0000
Th1 0.3319 0.3319 0.6637
Th2 0.3319 0.6681 0.0000
Th3 0.6681 0.3319 0.0000
Th4 0.6681 0.6681 0.3363
Sc1 0.0000 0.3382 0.3382
Sc2 0.0000 0.6618 0.6618
Sc3 0.3382 0.0000 0.3382
Sc4 0.6618 0.0000 0.6618

---

5.
Computed, not measured: a geometry-optimized Er2Th5Sc12 structure at the GGA-PBE level of DFT.

Total energy: -0.2210 Ha/atom

a = 10.0293 Å, b = 10.0293 Å, c = 10.2655 Å
α = 112.06°, β = 112.06°, γ = 36.89°
Sites, in units of the cell vectors:
Er1 0.2494 0.7506 0.0000
Er2 0.7506 0.2494 0.0000
Th1 0.1137 0.1137 0.7905
Th2 0.1429 0.1429 0.2783
Th3 0.5000 0.5000 0.5000
Th4 0.8571 0.8571 0.7217
Th5 0.8863 0.8863 0.2095
Sc1 0.0489 0.0489 0.4303
Sc2 0.0506 0.5565 0.4074
Sc3 0.0607 0.5398 0.9176
Sc4 0.3708 0.3708 0.7020
Sc5 0.4435 0.9494 0.5926
Sc6 0.4602 0.9393 0.0824
Sc7 0.5398 0.0607 0.9176
Sc8 0.5565 0.0506 0.4074
Sc9 0.6292 0.6292 0.2980
Sc10 0.9393 0.4602 0.0824
Sc11 0.9494 0.4435 0.5926
Sc12 0.9511 0.9511 0.5697

---

6.
Computed, not measured: a geometry-optimized Er12Th2Sc5 structure at the GGA-PBE level of DFT.

Total energy: -0.1901 Ha/atom

a = 9.0750 Å, b = 9.0750 Å, c = 8.2068 Å
α = 90.96°, β = 90.96°, γ = 56.81°
Sites, in units of the cell vectors:
Er1 0.0516 0.0516 0.2771
Er2 0.0995 0.6796 0.3858
Er3 0.1044 0.5188 0.7782
Er4 0.3204 0.9005 0.6142
Er5 0.3341 0.3341 0.1260
Er6 0.4812 0.8956 0.2218
Er7 0.5188 0.1044 0.7782
Er8 0.6659 0.6659 0.8740
Er9 0.6796 0.0995 0.3858
Er10 0.8956 0.4812 0.2218
Er11 0.9005 0.3204 0.6142
Er12 0.9484 0.9484 0.7229
Th1 0.2877 0.7123 0.0000
Th2 0.7123 0.2877 0.0000
Sc1 0.1434 0.1434 0.9440
Sc2 0.2556 0.2556 0.4536
Sc3 0.5000 0.5000 0.5000
Sc4 0.7444 0.7444 0.5464
Sc5 0.8566 0.8566 0.0560

---

7.
Computed, not measured: a geometry-optimized Er3Th2Sc4 structure at the GGA-PBE level of DFT.

Total energy: -0.2158 Ha/atom

a = 9.7121 Å, b = 9.7121 Å, c = 5.7602 Å
α = 96.40°, β = 96.40°, γ = 70.28°
Sites, in units of the cell vectors:
Er1 0.1247 0.8753 0.7500
Er2 0.2253 0.4515 0.8960
Er3 0.4515 0.2253 0.3960
Er4 0.5485 0.7747 0.6040
Er5 0.7747 0.5485 0.1040
Er6 0.8753 0.1247 0.2500
Th1 0.0089 0.7514 0.2064
Th2 0.2486 0.9911 0.2936
Th3 0.7514 0.0089 0.7064
Th4 0.9911 0.2486 0.7936
Sc1 0.0938 0.3661 0.3427
Sc2 0.3270 0.5744 0.4647
Sc3 0.3661 0.0938 0.8427
Sc4 0.4256 0.6730 0.0353
Sc5 0.5744 0.3270 0.9647
Sc6 0.6339 0.9062 0.1573
Sc7 0.6730 0.4256 0.5353
Sc8 0.9062 0.6339 0.6573

---

8.
Computed, not measured: a geometry-optimized Er3Th3Sc structure at the GGA-PBE level of DFT.

Total energy: -0.2201 Ha/atom

a = 9.3002 Å, b = 9.3002 Å, c = 5.7616 Å
α = 90.00°, β = 90.00°, γ = 120.00°
Sites, in units of the cell vectors:
Er1 0.0930 0.6187 0.2500
Er2 0.3813 0.4744 0.2500
Er3 0.4744 0.0930 0.7500
Er4 0.5256 0.9070 0.2500
Er5 0.6187 0.5256 0.7500
Er6 0.9070 0.3813 0.7500
Th1 0.0519 0.8130 0.7500
Th2 0.1870 0.2389 0.7500
Th3 0.2389 0.0519 0.2500
Th4 0.7611 0.9481 0.7500
Th5 0.8130 0.7611 0.2500
Th6 0.9481 0.1870 0.2500
Sc1 0.3333 0.6667 0.7500
Sc2 0.6667 0.3333 0.2500

---

| no. | ΔH_f (0 K) (meV per atom) |
| --- | --- |
| 1 | 124 |
| 2 | 227 |
| 3 | 39 |
| 4 | 47 |
| 5 | 418 |
| 6 | 157 |
| 7 | 111 |
| 8 | 51 |